# PBE+U Cs2MoI6F, optimized geometry
# Symmetry: I4/mmm (139)
# VASP energy in eV/atom: -2.78
data_Cs2MoI6F
_space_group_name_H-M_alt 'P 1'
_space_group_IT_number 1
_space_group_name_Hall 'P 1'
_cell_length_a 8.551
_cell_length_b 8.551
_cell_length_c 8.551
_cell_angle_alpha 124.68
_cell_angle_beta 124.68
_cell_angle_gamma 82.07
loop_
_atom_site_label
_atom_site_type_symbol
_atom_site_fract_x
_atom_site_fract_y
_atom_site_fract_z
Cs1 Cs 0.250 0.750 0.500
Cs2 Cs 0.750 0.250 0.500
Mo1 Mo 0.000 0.000 0.000
I1 I 0.220 0.220 0.000
I2 I 0.251 0.251 0.501
I3 I 0.251 0.749 0.000
I4 I 0.749 0.251 0.000
I5 I 0.749 0.749 0.499
I6 I 0.780 0.780 0.000
F1 F 0.500 0.500 0.000